No. 1
5
Lattice="-4.059 1.053 -1.422 1.317 -0.470 -4.107 -1.151 -4.274 0.120" Properties=species:S:1:pos:R:3 comment="GGA-PBE LiTcAgGe2, relaxed" dft_energy_ev_per_cell=-20.2 e_form_ev_per_fu=4.2 spacegroup="P4/mmm (123)" volume_a3_per_cell=85.1 pbc="T T T"
Ge -0.575 -2.137 0.060
Ge -2.029 0.526 -0.711
Tc 0.659 -0.235 -2.054
Ag -1.946 -1.845 -2.705
Li 0.000 0.000 0.000

***

No. 2
5
Lattice="-1.691 4.068 -2.208 -1.381 -2.690 -3.898 -4.418 -0.718 2.061" Properties=species:S:1:pos:R:3 comment="GGA-PBE LiAg2GeTe, relaxed" dft_energy_ev_per_cell=-14.0 e_form_raw_ev_per_atom=0.27 spacegroup="P4/mmm (123)" volume_a3_per_cell=119.8 pbc="T T T"
Ge 0.000 0.000 0.000
Te -3.745 0.330 -2.023
Ag -2.209 -0.359 1.030
Ag -0.845 2.034 -1.104
Li -0.691 -1.345 -1.949